A:
The following is a DFT calculation (PBE-GGA) of a geometry-optimized YTc2H structure.

The structure in extended XYZ format:
```
8
Lattice="-0.489 -3.338 4.428 -2.688 -3.746 -3.120 1.911 -5.281 -0.271" Properties=species:S:1:pos:R:3 pbc="T T T"
Tc -0.041 -3.040 1.203
Tc -0.674 -9.222 1.722
H -1.183 -6.284 -1.368
Y 0.000 0.000 0.000
Tc -0.430 -7.554 -0.493
H -1.588 -3.542 0.654
Y -0.083 -6.080 2.406
Tc -1.385 -4.913 -0.357
```

Values from the calculation:
* symmetry: I4_1/amd

B:
The following is a DFT calculation (PBE-GGA) of a geometry-optimized YTc2H structure.

The structure in extended XYZ format:
```
4
Lattice="0.614 -3.521 -2.701 -3.041 -3.287 -0.122 -2.588 -0.525 -3.619" Properties=species:S:1:pos:R:3 pbc="T T T"
H 0.000 0.000 0.000
Tc -3.761 -5.500 -4.832
Tc -1.254 -1.833 -1.611
Y -2.508 -3.666 -3.221
```

Values from the calculation:
* symmetry: Fm-3m

Which structure loses on stability? B does.

A:
The following is a DFT calculation (PBE-GGA) of a geometry-optimized YTcH4 structure.

The structure in extended XYZ format:
```
12
Lattice="5.098 -0.110 0.000 -0.818 4.416 0.000 -2.140 -2.153 5.194" Properties=species:S:1:pos:R:3 pbc="T T T"
H 4.379 0.803 0.405
H -0.284 1.158 2.962
Y 0.866 2.180 1.198
Tc -1.683 2.235 3.384
H 2.833 -1.213 2.962
Tc 3.823 -0.082 1.810
H -0.693 3.366 2.232
H 2.450 3.449 0.405
Y 1.274 -0.027 3.997
H -0.310 -1.296 4.789
H -2.238 1.350 4.789
H 2.424 0.995 2.232
```

Values from the calculation:
* symmetry: C2/c

B:
The following is a DFT calculation (PBE-GGA) of a geometry-optimized YTcH4 structure.

The structure in extended XYZ format:
```
12
Lattice="3.663 -0.143 0.000 1.312 3.424 0.000 0.000 0.000 8.826" Properties=species:S:1:pos:R:3 pbc="T T T"
H 3.188 2.105 3.946
H 3.188 2.105 0.467
H 2.648 0.386 2.206
Y 3.662 -0.141 4.413
H 1.784 1.180 4.880
Tc 3.221 2.127 2.206
Tc 1.752 1.158 6.619
H 1.784 1.180 8.358
H 3.578 0.999 6.619
H 2.345 2.893 6.619
Y 3.662 -0.141 0.000
H 1.392 2.266 2.206
```

Values from the calculation:
* symmetry: Ama2

Which structure loses on stability? A does.

A:
The following is a DFT calculation (PBE-GGA) of a geometry-optimized Zn2TcH structure.

The structure in extended XYZ format:
```
8
Lattice="6.782 0.000 0.000 0.000 6.782 0.000 3.391 3.391 2.067" Properties=species:S:1:pos:R:3 pbc="T T T"
Zn 4.493 1.696 0.517
Zn 8.478 7.884 1.550
Tc 6.782 3.391 1.033
Zn 5.087 5.680 1.550
H 3.391 3.391 0.000
Tc 0.000 0.000 0.000
Zn 2.289 5.087 0.517
H 3.391 6.782 1.033
```

Values from the calculation:
* symmetry: I-42d

B:
The following is a DFT calculation (PBE-GGA) of a geometry-optimized Zn2TcH structure.

The structure in extended XYZ format:
```
4
Lattice="1.338 -3.705 1.583 -2.294 -3.521 -0.607 1.419 -3.035 -2.608" Properties=species:S:1:pos:R:3 pbc="T T T"
Tc 0.232 -5.130 -0.816
Zn 0.347 -7.696 -1.224
H 0.000 0.000 0.000
Zn 0.116 -2.565 -0.408
```

Values from the calculation:
* symmetry: Fm-3m

Which structure loses on stability? B does.

A:
The following is a DFT calculation (PBE-GGA) of a geometry-optimized Zn2TcH4 structure.

The structure in extended XYZ format:
```
14
Lattice="4.294 0.000 0.000 0.000 4.765 -2.187 0.000 -1.450 7.637" Properties=species:S:1:pos:R:3 pbc="T T T"
H 2.322 2.598 0.829
H 1.972 0.717 4.621
Zn 1.073 1.657 2.056
H 4.119 2.598 0.829
Zn 1.073 0.054 6.680
H 1.073 3.515 -1.154
H 1.073 3.216 3.422
H 3.220 0.099 2.028
Tc 3.220 1.192 0.671
H 0.175 0.717 4.621
Zn 3.220 3.261 -1.230
H 3.220 -0.200 6.604
Zn 3.220 1.658 3.394
Tc 1.073 2.123 4.779
```

Values from the calculation:
* symmetry: P2_1/m

B:
The following is a DFT calculation (PBE-GGA) of a geometry-optimized Zn2TcH4 structure.

The structure in extended XYZ format:
```
7
Lattice="-0.051 1.346 -3.107 2.584 -1.992 -0.905 -3.335 -5.339 -4.103" Properties=species:S:1:pos:R:3 pbc="T T T"
H -0.179 -3.603 -5.248
Zn 0.895 -2.432 -4.759
H -0.623 -2.383 -2.867
H -0.026 0.673 -1.553
H 1.292 -0.996 -0.453
Tc 0.000 0.000 0.000
Zn -1.697 -3.554 -3.356
```

Values from the calculation:
* symmetry: I4/mmm

Which structure loses on stability? B does.

A:
The following is a DFT calculation (PBE-GGA) of a geometry-optimized ZnTcH2 structure.

The structure in extended XYZ format:
```
4
Lattice="1.231 -2.255 2.611 -1.155 0.393 3.454 -2.243 -2.492 1.476" Properties=species:S:1:pos:R:3 pbc="T T T"
Zn 0.000 0.000 0.000
Tc -1.083 -2.177 3.770
H -0.542 -1.088 1.885
H -1.625 -3.265 5.655
```

Values from the calculation:
* symmetry: Fm-3m

B:
The following is a DFT calculation (PBE-GGA) of a geometry-optimized ZnTcH2 structure.

The structure in extended XYZ format:
```
4
Lattice="2.936 0.000 0.000 1.468 2.543 0.000 1.468 0.848 4.915" Properties=species:S:1:pos:R:3 pbc="T T T"
H 1.468 0.848 0.779
Zn 2.936 1.695 2.589
H 1.468 0.848 4.086
Tc 4.404 2.543 4.834
```

Values from the calculation:
* symmetry: R3m

Which structure loses on stability? A does.

A:
The following is a DFT calculation (PBE-GGA) of a geometry-optimized ZnTcH2 structure.

The structure in extended XYZ format:
```
8
Lattice="-3.885 -0.392 -1.570 1.157 -3.528 -1.982 -2.477 -4.183 1.531" Properties=species:S:1:pos:R:3 pbc="T T T"
Tc 0.000 0.000 0.000
H -2.898 -4.554 -0.155
Zn -1.364 -1.960 -1.776
Tc -3.863 -3.267 -0.908
H -0.324 -3.294 -1.029
H -4.227 -6.619 -1.990
Zn -1.342 -4.835 -1.114
H -2.961 -1.737 -0.870
```

Values from the calculation:
* symmetry: I-42d

B:
The following is a DFT calculation (PBE-GGA) of a geometry-optimized ZnTcH2 structure.

The structure in extended XYZ format:
```
4
Lattice="-0.330 2.713 0.081 -2.054 1.169 -1.375 -4.475 0.697 4.557" Properties=species:S:1:pos:R:3 pbc="T T T"
H -3.238 0.898 2.880
Tc -3.430 2.290 1.631
H -3.621 3.681 0.382
Zn 0.000 0.000 0.000
```

Values from the calculation:
* symmetry: R-3m

Which structure loses on stability? A does.

A:
The following is a DFT calculation (PBE-GGA) of a geometry-optimized ZnTc3H structure.

The structure in extended XYZ format:
```
5
Lattice="-0.803 -3.337 1.892 1.781 -2.037 -2.835 3.397 0.279 1.934" Properties=species:S:1:pos:R:3 pbc="T T T"
Tc 1.699 0.140 0.967
H 0.000 0.000 0.000
Tc -0.401 -1.668 0.946
Zn 2.188 -2.547 0.496
Tc 0.891 -1.018 -1.417
```

Values from the calculation:
* symmetry: Pm-3m

B:
The following is a DFT calculation (PBE-GGA) of a geometry-optimized ZnTc3H structure.

The structure in extended XYZ format:
```
5
Lattice="-1.233 -4.347 0.065 2.036 -0.518 4.000 -3.841 1.120 2.100" Properties=species:S:1:pos:R:3 pbc="T T T"
Tc -1.920 0.560 1.050
Tc -0.616 -2.173 0.032
H -1.519 -1.872 3.083
Tc 1.018 -0.259 2.000
Zn 0.000 0.000 0.000
```

Values from the calculation:
* symmetry: Pm-3m

Which structure loses on stability? B does.

A:
The following is a DFT calculation (PBE-GGA) of a geometry-optimized Zr2ZnTcH structure.

The structure in extended XYZ format:
```
5
Lattice="-1.647 -4.270 -0.023 2.421 -0.914 -3.775 2.749 -1.071 2.023" Properties=species:S:1:pos:R:3 pbc="T T T"
Zr -0.824 -2.135 -0.011
H 0.000 0.000 0.000
Tc 1.762 -3.128 -0.887
Zr 1.211 -0.457 -1.888
Zn 1.375 -0.536 1.011
```

Values from the calculation:
* symmetry: P4/mmm

B:
The following is a DFT calculation (PBE-GGA) of a geometry-optimized Zr2ZnTcH structure.

The structure in extended XYZ format:
```
5
Lattice="-3.466 2.929 -0.127 -2.704 -3.270 -1.612 -0.918 -0.937 3.442" Properties=species:S:1:pos:R:3 pbc="T T T"
Zr -1.733 1.464 -0.064
H 0.000 0.000 0.000
Zr -1.352 -1.635 -0.806
Zn -3.544 -0.639 0.852
Tc -0.459 -0.469 1.721
```

Values from the calculation:
* symmetry: P4/mmm

Which structure loses on stability? A does.